An optimized crystal structure of Np2Be4Ge3Au. Source: Alexandria via LeMat-Bulk, functional PBE.

ΔE_f ... -0.139 eV per atom
Total DFT energy (no corrections) ... -5.931 eV/atom

Cell: 3.992 3.992 9.774 Å, 90.00 90.00 90.00°
Space group P-4m2 (No. 115)
One atom of each set of equivalent atoms:
Np (0.000, 0.500, 0.241) [2 per cell]
Be (0.000, 0.000, 0.000) [1 per cell]
Be (0.000, 0.500, 0.637) [2 per cell]
Be (0.500, 0.500, 0.000) [1 per cell]
Ge (0.000, 0.500, 0.870) [2 per cell]
Ge (0.500, 0.500, 0.500) [1 per cell]
Au (0.000, 0.000, 0.500) [1 per cell]



An optimized crystal structure of ScNiAsSe2. Source: Alexandria via LeMat-Bulk, functional PBE.

Total DFT energy (no corrections) ... -4.956 eV/atom
Distance to the lowest polymorph of the same formula ... 0 meV/atom

Cell: 4.828 4.828 4.428 Å, 90.00 90.00 90.00°
Space group P4/mmm (No. 123)
One atom of each set of equivalent atoms:
Sc (0.000, 0.000, 0.000) [1 per cell]
Ni (0.500, 0.500, 0.500) [1 per cell]
As (0.500, 0.500, 0.000) [1 per cell]
Se (0.000, 0.500, 0.500) [2 per cell]



An optimized crystal structure of HfAlN. Source: Alexandria via LeMat-Bulk, functional PBE.

Total DFT energy (no corrections) ... -8.009 eV/atom

Cell: 6.138 4.017 9.266 Å, 90.00 90.00 90.00°
Space group Pnma (No. 62)
One atom of each set of equivalent atoms:
Hf (0.120, 0.250, 0.108) [4 per cell]
Al (0.105, 0.250, 0.426) [4 per cell]
N (0.138, 0.750, 0.043) [4 per cell]



An optimized crystal structure of SnBiSb2. Source: Alexandria via LeMat-Bulk, functional PBE.

Total DFT energy (no corrections) ... -3.829 eV/atom
Distance to the lowest polymorph of the same formula ... 178 meV/atom

Cell: 7.536 7.536 11.176 Å, 90.00 90.00 90.00°
Space group I-42d (No. 122)
One atom of each set of equivalent atoms:
Sn (0.000, 0.000, 0.000) [4 per cell]
Bi (0.000, 0.000, 0.500) [4 per cell]
Sb (0.233, 0.250, 0.125) [8 per cell]



An optimized crystal structure of PmGe3Pd. Source: Alexandria via LeMat-Bulk, functional PBE.

ΔE_f ... -0.591 eV per atom
Total DFT energy (no corrections) ... -5.350 eV/atom
Distance to the lowest polymorph of the same formula ... 0 meV/atom

Cell: 4.523 4.523 9.882 Å, 90.00 90.00 90.00°
Space group I4mm (No. 107)
One atom of each set of equivalent atoms:
Pm (0.000, 0.000, 0.000) [2 per cell]
Ge (0.000, 0.000, 0.407) [2 per cell]
Ge (0.000, 0.500, 0.263) [4 per cell]
Pd (0.000, 0.000, 0.653) [2 per cell]



An optimized crystal structure of TePd3C. Source: Alexandria via LeMat-Bulk, functional PBE.

Total DFT energy (no corrections) ... -3.853 eV/atom
Distance to the lowest polymorph of the same formula ... 1493 meV/atom

Cell: 4.962 4.962 4.962 Å, 90.00 90.00 90.00°
Space group Pm-3m (No. 221)
One atom of each set of equivalent atoms:
Te (0.000, 0.000, 0.000) [1 per cell]
Pd (0.000, 0.000, 0.500) [3 per cell]
C (0.500, 0.500, 0.500) [1 per cell]



An optimized crystal structure of CsPaTlF6. Source: Alexandria via LeMat-Bulk, functional PBE.

Total DFT energy (no corrections) ... -5.840 eV/atom

Cell: 7.5157 7.5157 8.3721 Å, 90.00 90.00 120.00°
Space group P-31c (No. 163)
One atom of each set of equivalent atoms:
Cs (0.3333, 0.6667, 0.2500) [2 per cell]
Pa (0.3333, 0.6667, 0.7500) [2 per cell]
Tl (0.0000, 0.0000, 0.0000) [2 per cell]
F (0.1002, 0.4204, 0.6041) [12 per cell]



An optimized crystal structure of LaCu2P. Source: Alexandria via LeMat-Bulk, functional PBE.

ΔE_f ... -0.026 eV per atom
Total DFT energy (no corrections) ... -4.658 eV/atom

Cell: 3.553 3.613 5.906 Å, 90.00 90.00 90.00°
Space group Pmmm (No. 47)
One atom of each set of equivalent atoms:
La (0.000, 0.000, 0.000) [1 per cell]
Cu (0.500, 0.500, 0.300) [2 per cell]
P (0.000, 0.000, 0.500) [1 per cell]



An optimized crystal structure of Pu2Zn3Ir2. Source: Alexandria via LeMat-Bulk, functional PBE.

ΔE_f ... -0.375 eV per atom
Total DFT energy (no corrections) ... -7.547 eV/atom

Cell: 9.621 4.200 6.985 Å, 90.00 111.06 90.00°
Space group C2/m (No. 12)
One atom of each set of equivalent atoms:
Pu (0.142, 0.000, 0.275) [4 per cell]
Zn (0.000, 0.500, 0.500) [2 per cell]
Zn (0.130, 0.500, 0.941) [4 per cell]
Ir (0.145, 0.000, 0.699) [4 per cell]



An optimized crystal structure of NdVBr2. Source: Alexandria via LeMat-Bulk, functional PBE.

Total DFT energy (no corrections) ... -4.674 eV/atom

Cell: 3.7895 3.7895 27.6605 Å, 90.00 90.00 120.00°
Space group R-3m (No. 166, hexagonal axes)
One atom of each set of equivalent atoms:
Nd (0.0000, 0.0000, 0.0000) [3 per cell]
V (0.0000, 0.0000, 0.5000) [3 per cell]
Br (0.0000, 0.0000, 0.1120) [6 per cell]



An optimized crystal structure of KHgOs4. Source: Alexandria via LeMat-Bulk, functional PBE.

ΔE_f ... 1.137 eV per atom
Total DFT energy (no corrections) ... -6.583 eV/atom

Cell: 7.566 7.566 7.566 Å, 90.00 90.00 90.00°
Space group F-43m (No. 216)
One atom of each set of equivalent atoms:
K (0.000, 0.000, 0.000) [4 per cell]
Hg (0.250, 0.250, 0.250) [4 per cell]
Os (0.125, 0.125, 0.625) [16 per cell]



An optimized crystal structure of ErCuPd3. Source: Alexandria via LeMat-Bulk, functional PBE.

ΔE_f ... -0.516 eV per atom
Total DFT energy (no corrections) ... -5.363 eV/atom
Distance to the lowest polymorph of the same formula ... 0 meV/atom

Cell: 4.399 6.127 6.462 Å, 90.00 90.00 90.00°
Space group Pmmn (No. 59, origin choice 2)
One atom of each set of equivalent atoms:
Er (0.250, 0.250, 0.223) [2 per cell]
Cu (0.250, 0.750, 0.438) [2 per cell]
Pd (0.250, 0.037, 0.717) [4 per cell]
Pd (0.250, 0.750, 0.058) [2 per cell]